No. 1
PBE Fe2Cu2Sb, relaxed; E_form (uncorrected) = 0.39 eV per atom; volume = 75 Å³/cell; energy = -5.4601 eV/atom; polymorph energy (0 for the lowest one) = 56 meV per atom
1.0
-1.753 1.753 6.080
1.753 -1.753 6.080
1.753 1.753 -6.080
Fe Cu Sb
2 2 1
direct
0.099 0.099 0.000 Fe
0.901 0.901 0.000 Fe
0.250 0.750 0.500 Cu
0.750 0.250 0.500 Cu
0.500 0.500 0.000 Sb

=====

No. 2
PBE Bi5SbPd3, relaxed; E_form (uncorrected) = -0.07 eV per atom; volume = 513 Å³/cell; energy = -4.4159 eV/atom
1.0
5.833 -4.527 0.000
5.833 4.527 0.000
-3.455 0.000 9.722
Bi Sb Pd
10 2 6
direct
0.073 0.073 0.372 Bi
0.154 0.576 0.291 Bi
0.195 0.805 0.000 Bi
0.247 0.247 0.944 Bi
0.424 0.846 0.709 Bi
0.576 0.154 0.291 Bi
0.753 0.753 0.056 Bi
0.805 0.195 0.000 Bi
0.846 0.424 0.709 Bi
0.927 0.927 0.628 Bi
0.415 0.415 0.715 Sb
0.585 0.585 0.285 Sb
0.176 0.176 0.174 Pd
0.177 0.177 0.649 Pd
0.500 0.500 0.000 Pd
0.500 0.500 0.500 Pd
0.823 0.823 0.351 Pd
0.824 0.824 0.826 Pd

=====

No. 3
PBE Pm3S3N, relaxed; E_form (uncorrected) = -1.83 eV per atom; volume = 330 Å³/cell; energy = -6.8283 eV/atom; polymorph energy (0 for the lowest one) = 104 meV per atom
1.0
3.959 -6.028 0.000
3.959 6.028 0.000
-1.262 0.000 6.921
Pm S N
6 6 2
direct
0.099 0.099 0.304 Pm
0.168 0.467 0.773 Pm
0.467 0.168 0.773 Pm
0.533 0.832 0.227 Pm
0.832 0.533 0.227 Pm
0.901 0.901 0.696 Pm
0.167 0.833 0.000 S
0.247 0.753 0.500 S
0.390 0.390 0.147 S
0.610 0.610 0.853 S
0.753 0.247 0.500 S
0.833 0.167 0.000 S
0.183 0.183 0.636 N
0.817 0.817 0.364 N

=====

No. 4
PBE SmTlGa2, relaxed; volume = 92 Å³/cell; E_form = -0.403 eV/atom; energy = -3.6878 eV/atom; polymorph energy (0 for the lowest one) = 0 meV per atom
1.0
4.574 0.000 0.000
0.000 4.574 0.000
0.000 0.000 4.395
Sm Tl Ga
1 1 2
direct
0.000 0.000 0.000 Sm
0.500 0.500 0.000 Tl
0.000 0.500 0.500 Ga
0.500 0.000 0.500 Ga

=====

No. 5
PBE SrCeInBi, relaxed; volume = 129 Å³/cell; E_form = -0.432 eV/atom; energy = -3.9910 eV/atom
1.0
0.000 4.012 4.012
4.012 0.000 4.012
4.012 4.012 0.000
Sr Ce In Bi
1 1 1 1
direct
0.000 0.000 0.000 Sr
0.500 0.500 0.500 Ce
0.750 0.750 0.750 In
0.250 0.250 0.250 Bi

=====

No. 6
PBE CoTe4I, relaxed; E_form (uncorrected) = 0.04 eV per atom; volume = 451 Å³/cell; energy = -3.4954 eV/atom
1.0
7.659 -4.401 0.000
7.659 4.401 0.000
-1.081 0.000 6.694
Co Te I
2 8 2
direct
0.001 0.001 0.312 Co
0.999 0.999 0.688 Co
0.107 0.704 0.466 Te
0.168 0.832 0.000 Te
0.178 0.178 0.253 Te
0.296 0.893 0.534 Te
0.704 0.107 0.466 Te
0.822 0.822 0.747 Te
0.832 0.168 0.000 Te
0.893 0.296 0.534 Te
0.364 0.364 0.084 I
0.636 0.636 0.916 I

=====

No. 7
PBE BaCd2AgSn, relaxed; volume = 143 Å³/cell; E_form = -0.330 eV/atom; energy = -2.4517 eV/atom
1.0
-2.440 2.468 5.927
2.440 -2.468 5.927
2.440 2.468 -5.927
Ba Cd Ag Sn
1 2 1 1
direct
0.000 0.000 0.000 Ba
0.374 0.374 0.000 Cd
0.749 0.249 0.500 Cd
0.239 0.739 0.500 Ag
0.618 0.618 0.000 Sn

=====

No. 8
PBE TlCuTe2, relaxed; E_form (uncorrected) = 0.38 eV per atom; volume = 105 Å³/cell; energy = -2.8056 eV/atom
1.0
0.000 3.740 3.740
3.740 0.000 3.740
3.740 3.740 0.000
Tl Cu Te
1 1 2
direct
0.000 0.000 0.000 Tl
0.750 0.750 0.750 Cu
0.250 0.250 0.250 Te
0.500 0.500 0.500 Te

=====

No. 9
PBE Cs4Cd3AgCl12, relaxed; E_form (uncorrected) = -1.35 eV per atom; volume = 598 Å³/cell; energy = -2.9121 eV/atom
1.0
-5.307 5.307 5.307
5.307 -5.307 5.307
5.307 5.307 -5.307
Cs Cd Ag Cl
4 3 1 12
direct
0.000 0.000 0.500 Cs
0.000 0.500 0.000 Cs
0.500 0.000 0.000 Cs
0.500 0.500 0.500 Cs
0.000 0.500 0.500 Cd
0.500 0.000 0.500 Cd
0.500 0.500 0.000 Cd
0.000 0.000 0.000 Ag
0.000 0.252 0.252 Cl
0.000 0.748 0.748 Cl
0.250 0.500 0.750 Cl
0.250 0.750 0.500 Cl
0.252 0.000 0.252 Cl
0.252 0.252 0.000 Cl
0.500 0.250 0.750 Cl
0.500 0.750 0.250 Cl
0.748 0.000 0.748 Cl
0.748 0.748 0.000 Cl
0.750 0.250 0.500 Cl
0.750 0.500 0.250 Cl

=====

No. 10
PBE CsZnHg2, relaxed; volume = 141 Å³/cell; E_form = -0.092 eV/atom; energy = -0.7750 eV/atom
1.0
2.468 1.425 6.667
-2.468 1.425 6.667
0.000 -2.850 6.667
Cs Zn Hg
1 1 2
direct
0.000 0.000 0.000 Cs
0.500 0.500 0.500 Zn
0.198 0.198 0.198 Hg
0.802 0.802 0.802 Hg

=====

No. 11
PBE Nd5ZnSn2, relaxed; volume = 491 Å³/cell; E_form = -0.337 eV/atom; energy = -4.4770 eV/atom
1.0
2.920 -4.861 0.000
2.920 4.861 0.000
0.000 0.000 17.308
Nd Zn Sn
10 2 4
direct
0.080 0.920 0.590 Nd
0.080 0.920 0.910 Nd
0.229 0.771 0.250 Nd
0.410 0.590 0.606 Nd
0.410 0.590 0.894 Nd
0.590 0.410 0.106 Nd
0.590 0.410 0.394 Nd
0.771 0.229 0.750 Nd
0.920 0.080 0.090 Nd
0.920 0.080 0.410 Nd
0.170 0.830 0.750 Zn
0.830 0.170 0.250 Zn
0.259 0.741 0.068 Sn
0.259 0.741 0.432 Sn
0.741 0.259 0.568 Sn
0.741 0.259 0.932 Sn

=====

No. 12
PBE SrReAs2, relaxed; volume = 84 Å³/cell; E_form = 0.541 eV/atom; energy = -5.3165 eV/atom; polymorph energy (0 for the lowest one) = 809 meV per atom
1.0
-2.057 2.057 4.958
2.057 -2.057 4.958
2.057 2.057 -4.958
Sr Re As
1 1 2
direct
0.000 0.000 0.000 Sr
0.750 0.250 0.500 Re
0.250 0.750 0.500 As
0.500 0.500 0.000 As

=====

Which value of energy does entry 12 give?
-5.3165 eV/atom

=====

Which formula does entry 5 have?
SrCeInBi